## CeHoBiSb (GGA-PBE)

Data for a relaxed CeHoBiSb crystal.

Lattice parameters (Å, degrees): 4.4831 4.4831 21.9503 90.00 90.00 120.00
Space group R3m (No. 160, hexagonal axes)
Inequivalent atoms, fractional coordinates:
Ce  0.0000  0.0000  0.0000 [3 per cell]
Ho  0.0000  0.0000  0.4958 [3 per cell]
Bi  0.0000  0.0000  0.2455 [3 per cell]
Sb  0.0000  0.0000  0.7507 [3 per cell]

Computed properties:
ΔE_f (raw) = -947 meV per atom
calculated total energy = -5.5756 eV/atom

=====

## CeHoSc2Bi4 (GGA-PBE)

Data for a relaxed CeHoSc2Bi4 crystal.

Lattice parameters (Å, degrees): 7.6033 4.4090 7.6287 90.00 109.50 90.00
Space group P2/m (No. 10)
Inequivalent atoms, fractional coordinates:
Ce  0.0000  0.0000  0.0000 [1 per cell]
Ho  0.0000  0.5000  0.5000 [1 per cell]
Sc  0.5000  0.0000  0.5000 [1 per cell]
Sc  0.5000  0.5000  0.0000 [1 per cell]
Bi  0.2657  0.0000  0.7519 [2 per cell]
Bi  0.2688  0.5000  0.2599 [2 per cell]

Computed properties:
energy relative to the elements = -730 meV per atom
calculated total energy = -5.5673 eV/atom

=====

## CeHoBiSe (GGA-PBE)

Data for a relaxed CeHoBiSe crystal.

Lattice parameters (Å, degrees): 4.2393 4.2393 22.4023 90.00 90.00 120.00
Space group R3m (No. 160, hexagonal axes)
Inequivalent atoms, fractional coordinates:
Ce  0.0000  0.0000  0.0000 [3 per cell]
Ho  0.0000  0.0000  0.8167 [3 per cell]
Bi  0.0000  0.0000  0.2381 [3 per cell]
Se  0.0000  0.0000  0.4148 [3 per cell]

Computed properties:
ΔE_f (raw) = -1215 meV per atom
calculated total energy = -5.6846 eV/atom

=====

## Ce2SmHo3Bi6 (GGA-PBE)

Data for a relaxed Ce2SmHo3Bi6 crystal.

Lattice parameters (Å, degrees): 19.6994 4.5323 9.0418 90.00 103.10 90.00
Space group C2/m (No. 12)
Inequivalent atoms, fractional coordinates:
Ce  0.1661  0.0000  0.3324 [4 per cell]
Sm  0.0000  0.5000  0.0000 [2 per cell]
Ho  0.0000  0.5000  0.5000 [2 per cell]
Ho  0.1663  0.0000  0.8340 [4 per cell]
Bi  0.0017  0.0000  0.7464 [4 per cell]
Bi  0.1650  0.5000  0.5878 [4 per cell]
Bi  0.1681  0.5000  0.0790 [4 per cell]

Computed properties:
energy relative to the elements = -838 meV per atom
calculated total energy = -5.3051 eV/atom

=====

## CeSm2HoBi4 (GGA-PBE)

Data for a relaxed CeSm2HoBi4 crystal.

Lattice parameters (Å, degrees): 7.8639 4.5478 7.8755 90.00 109.45 90.00
Space group P2/m (No. 10)
Inequivalent atoms, fractional coordinates:
Ce  0.0000  0.0000  0.0000 [1 per cell]
Sm  0.0000  0.5000  0.5000 [1 per cell]
Sm  0.5000  0.0000  0.5000 [1 per cell]
Ho  0.5000  0.5000  0.0000 [1 per cell]
Bi  0.2527  0.5000  0.2483 [2 per cell]
Bi  0.2544  0.0000  0.7544 [2 per cell]

Computed properties:
energy relative to the elements = -869 meV per atom
calculated total energy = -5.3030 eV/atom

=====

## Sr2CeHoBi4 (GGA-PBE)

Data for a relaxed Sr2CeHoBi4 crystal.

Lattice parameters (Å, degrees): 8.0255 4.6571 8.2039 90.00 109.29 90.00
Space group P2/m (No. 10)
Inequivalent atoms, fractional coordinates:
Sr  0.0000  0.0000  0.0000 [1 per cell]
Sr  0.5000  0.5000  0.0000 [1 per cell]
Ce  0.0000  0.5000  0.5000 [1 per cell]
Ho  0.5000  0.0000  0.5000 [1 per cell]
Bi  0.2428  0.0000  0.7243 [2 per cell]
Bi  0.2604  0.5000  0.2761 [2 per cell]

Computed properties:
energy relative to the elements = -782 meV per atom
calculated total energy = -4.4566 eV/atom

=====

Which of these has the lowest calculated total energy? CeHoBiSe

=====

Look up the calculated total energy of the second one. -5.5673 eV/atom

=====

What is the calculated total energy in the fourth record? -5.3051 eV/atom